Entry 1:
# La3YAg

A relaxed structure of La3YAg (PBE, Alexandria).

Output
* final energy: -22.57 eV/cell
* Fermi-level density of states: 19.072 states/eV/cell
* formation energy: 0.306 eV per atom
* polymorph energy (0 for the lowest one): 248 meV per atom

Unit cell a=5.8458 b=5.8458 c=5.8458 alpha=90.00 beta=90.00 gamma=90.00
Space group Pm-3m (No. 221)
Inequivalent atoms, fractional coordinates:
La  0.0000  0.0000  0.5000 [3 per cell]
Y  0.5000  0.5000  0.5000 [1 per cell]
Ag  0.0000  0.0000  0.0000 [1 per cell]

=====

Entry 2:
# ZrCoPCl2

A relaxed structure of ZrCoPCl2 (PBE, Alexandria).

Output
* final energy: -24.73 eV/cell
* Fermi-level density of states: 3.934 states/eV/cell
* formation energy from raw total energies: 6 meV per atom
* polymorph energy (0 for the lowest one): 0 meV per atom

Unit cell a=4.3640 b=4.3640 c=4.7135 alpha=90.00 beta=90.00 gamma=90.00
Space group P4/mmm (No. 123)
Inequivalent atoms, fractional coordinates:
Zr  0.0000  0.0000  0.0000 [1 per cell]
Co  0.5000  0.5000  0.5000 [1 per cell]
P  0.5000  0.5000  0.0000 [1 per cell]
Cl  0.0000  0.5000  0.5000 [2 per cell]

=====

Entry 3:
# Li2TaAu

A relaxed structure of Li2TaAu (PBE, Alexandria).

Output
* final energy: -37.20 eV/cell
* Fermi-level density of states: 6.092 states/eV/cell
* formation energy: 0.090 eV per atom
* polymorph energy (0 for the lowest one): 81 meV per atom

Unit cell a=2.7489 b=4.9863 c=9.9941 alpha=90.00 beta=90.00 gamma=90.00
Space group Immm (No. 71)
Inequivalent atoms, fractional coordinates:
Li  0.0000  0.0000  0.2302 [4 per cell]
Ta  0.0000  0.5000  0.0000 [2 per cell]
Au  0.0000  0.5000  0.5000 [2 per cell]

=====

Entry 4:
# Ca4B

A relaxed structure of Ca4B (PBE, Alexandria).

Output
* final energy: -13.49 eV/cell
* Fermi-level density of states: 5.686 states/eV/cell
* formation energy: 0.239 eV per atom

Unit cell a=5.4970 b=5.4970 c=5.4970 alpha=90.00 beta=90.00 gamma=90.00
Space group Pm-3m (No. 221)
Inequivalent atoms, fractional coordinates:
Ca  0.0000  0.0000  0.0000 [1 per cell]
Ca  0.0000  0.5000  0.5000 [3 per cell]
B  0.5000  0.5000  0.5000 [1 per cell]

=====

Entry 5:
# NaNdPb

A relaxed structure of NaNdPb (PBE, Alexandria).

Output
* final energy: -20.24 eV/cell
* Fermi-level density of states: 5.391 states/eV/cell
* formation energy: -0.108 eV per atom

Unit cell a=4.3160 b=4.3160 c=9.8314 alpha=90.00 beta=90.00 gamma=90.00
Space group I4mm (No. 107)
Inequivalent atoms, fractional coordinates:
Na  0.0000  0.0000  0.0000 [2 per cell]
Nd  0.0000  0.0000  0.3248 [2 per cell]
Pb  0.0000  0.0000  0.6640 [2 per cell]

=====

Entry 6:
# CeIF

A relaxed structure of CeIF (PBE, Alexandria).

Output
* final energy: -64.25 eV/cell
* Fermi-level density of states: 32.005 states/eV/cell
* formation energy from raw total energies: -2236 meV per atom

Unit cell a=4.4329 b=4.4329 c=14.9914 alpha=90.00 beta=90.00 gamma=90.00
Space group I4_1md (No. 109)
Inequivalent atoms, fractional coordinates:
Ce  0.0000  0.0000  0.0000 [4 per cell]
I  0.0000  0.0000  0.4218 [4 per cell]
F  0.0000  0.0000  0.8390 [4 per cell]

=====

Entry 7:
# YNbOF2

A relaxed structure of YNbOF2 (PBE, Alexandria).

Output
* final energy: -34.58 eV/cell
* Fermi-level density of states: 3.574 states/eV/cell
* formation energy from raw total energies: -1869 meV per atom
* polymorph energy (0 for the lowest one): 0 meV per atom

Unit cell a=4.3739 b=4.3739 c=4.4918 alpha=90.00 beta=90.00 gamma=90.00
Space group P4/mmm (No. 123)
Inequivalent atoms, fractional coordinates:
Y  0.0000  0.0000  0.0000 [1 per cell]
Nb  0.5000  0.5000  0.5000 [1 per cell]
O  0.0000  0.0000  0.5000 [1 per cell]
F  0.0000  0.5000  0.0000 [2 per cell]

=====

Entry 8:
# HoPb2BrO4

A relaxed structure of HoPb2BrO4 (PBE, Alexandria).

Output
* final energy: -46.93 eV/cell
* Fermi-level density of states: 3.553 states/eV/cell
* formation energy from raw total energies: -1679 meV per atom

Unit cell a=3.9820 b=3.9820 c=9.1804 alpha=90.00 beta=90.00 gamma=90.00
Space group P4/mmm (No. 123)
Inequivalent atoms, fractional coordinates:
Ho  0.0000  0.0000  0.0000 [1 per cell]
Pb  0.5000  0.5000  0.2628 [2 per cell]
Br  0.0000  0.0000  0.5000 [1 per cell]
O  0.0000  0.5000  0.1417 [4 per cell]

=====

Entry 9:
# AcPrSb2

A relaxed structure of AcPrSb2 (PBE, Alexandria).

Output
* final energy: -43.53 eV/cell
* Fermi-level density of states: 1.048 states/eV/cell
* formation energy from raw total energies: -1158 meV per atom
* polymorph energy (0 for the lowest one): 37 meV per atom

Unit cell a=4.6490 b=4.6490 c=15.4405 alpha=90.00 beta=90.00 gamma=120.00
Space group P6_3/mmc (No. 194)
Inequivalent atoms, fractional coordinates:
Ac  0.3333  0.6667  0.2500 [2 per cell]
Pr  0.0000  0.0000  0.0000 [2 per cell]
Sb  0.3333  0.6667  0.6174 [4 per cell]

=====

Entry 10:
# ZrSc2Br

A relaxed structure of ZrSc2Br (PBE, Alexandria).

Output
* final energy: -46.72 eV/cell
* Fermi-level density of states: 10.433 states/eV/cell
* formation energy from raw total energies: -119 meV per atom
* polymorph energy (0 for the lowest one): 341 meV per atom

Unit cell a=3.2865 b=5.5791 c=10.0625 alpha=90.00 beta=90.00 gamma=90.00
Space group Immm (No. 71)
Inequivalent atoms, fractional coordinates:
Zr  0.0000  0.0000  0.0000 [2 per cell]
Sc  0.0000  0.5000  0.2341 [4 per cell]
Br  0.0000  0.0000  0.5000 [2 per cell]

=====

Entry 11:
# SrPtW

A relaxed structure of SrPtW (PBE, Alexandria).

Output
* final energy: -41.27 eV/cell
* Fermi-level density of states: 5.153 states/eV/cell
* formation energy: 0.014 eV per atom
* polymorph energy (0 for the lowest one): 41 meV per atom

Unit cell a=3.2834 b=3.3669 c=12.6058 alpha=88.75 beta=89.80 gamma=89.91
Space group P-1 (No. 2)
Inequivalent atoms, fractional coordinates:
Sr  0.2456  0.2544  0.3494 [2 per cell]
Pt  0.2523  0.2423  0.8207 [2 per cell]
W  0.2501  0.3054  0.0597 [2 per cell]

=====

Entry 12:
# Tm3PuSb2

A relaxed structure of Tm3PuSb2 (PBE, Alexandria).

Output
* final energy: -156.67 eV/cell
* Fermi-level density of states: 45.157 states/eV/cell
* formation energy from raw total energies: -529 meV per atom

Unit cell a=17.4416 b=4.1285 c=10.4028 alpha=90.00 beta=113.63 gamma=90.00
Space group C2/m (No. 12)
Inequivalent atoms, fractional coordinates:
Tm  0.0518  0.0000  0.1642 [4 per cell]
Tm  0.1413  0.5000  0.9734 [4 per cell]
Tm  0.1935  0.5000  0.3742 [4 per cell]
Pu  0.1059  0.0000  0.5917 [4 per cell]
Sb  0.0071  0.5000  0.3341 [4 per cell]
Sb  0.2474  0.0000  0.2017 [4 per cell]

=====

Entry 13:
# Tb12Pm6Nd

A relaxed structure of Tb12Pm6Nd (PBE, Alexandria).

Output
* final energy: -258.07 eV/cell
* Fermi-level density of states: 88.558 states/eV/cell
* formation energy: 0.148 eV per atom
* polymorph energy (0 for the lowest one): 0 meV per atom

Unit cell a=12.0586 b=12.0586 c=15.1815 alpha=90.00 beta=90.00 gamma=120.00
Space group R-3 (No. 148, hexagonal axes)
Inequivalent atoms, fractional coordinates:
Tb  0.0132  0.8354  0.1914 [18 per cell]
Tb  0.0440  0.8536  0.4162 [18 per cell]
Pm  0.0095  0.4207  0.6802 [18 per cell]
Nd  0.0000  0.0000  0.0000 [3 per cell]

=====

Entry 14:
# SbP2Cl

A relaxed structure of SbP2Cl (PBE, Alexandria).

Output
* final energy: -16.76 eV/cell
* Fermi-level density of states: 0.877 states/eV/cell
* formation energy from raw total energies: 7 meV per atom
* polymorph energy (0 for the lowest one): 41 meV per atom

Unit cell a=3.3512 b=5.3805 c=5.4713 alpha=90.00 beta=104.61 gamma=90.00
Space group P2/m (No. 10)
Inequivalent atoms, fractional coordinates:
Sb  0.0000  0.0000  0.0000 [1 per cell]
P  0.3105  0.5000  0.1403 [2 per cell]
Cl  0.0000  0.0000  0.5000 [1 per cell]

=====

Entry 15:
# MgAl2Os2

A relaxed structure of MgAl2Os2 (PBE, Alexandria).

Output
* final energy: -62.08 eV/cell
* Fermi-level density of states: 3.684 states/eV/cell
* formation energy: 0.100 eV per atom
* polymorph energy (0 for the lowest one): 294 meV per atom

Unit cell a=3.8370 b=3.8370 c=11.5483 alpha=90.00 beta=90.00 gamma=90.00
Space group I4/mmm (No. 139)
Inequivalent atoms, fractional coordinates:
Mg  0.0000  0.0000  0.0000 [2 per cell]
Al  0.0000  0.5000  0.2500 [4 per cell]
Os  0.0000  0.0000  0.3924 [4 per cell]

=====

Entry 16:
# Na2ErPaSe4

A relaxed structure of Na2ErPaSe4 (PBE, Alexandria).

Output
* final energy: -42.31 eV/cell
* Fermi-level density of states: 6.693 states/eV/cell
* formation energy from raw total energies: -1459 meV per atom

Unit cell a=7.1570 b=4.0638 c=7.4823 alpha=90.00 beta=108.12 gamma=90.00
Space group P2/m (No. 10)
Inequivalent atoms, fractional coordinates:
Na  0.0000  0.0000  0.0000 [1 per cell]
Na  0.5000  0.5000  0.0000 [1 per cell]
Er  0.0000  0.5000  0.5000 [1 per cell]
Pa  0.5000  0.0000  0.5000 [1 per cell]
Se  0.2412  0.0000  0.7306 [2 per cell]
Se  0.2492  0.5000  0.2637 [2 per cell]

=====

Entry 17:
# Be3SiI

A relaxed structure of Be3SiI (PBE, Alexandria).

Output
* final energy: -14.43 eV/cell
* Fermi-level density of states: 2.297 states/eV/cell
* formation energy from raw total energies: 745 meV per atom
* polymorph energy (0 for the lowest one): 0 meV per atom

Unit cell a=4.4814 b=4.4814 c=4.4814 alpha=90.00 beta=90.00 gamma=90.00
Space group Pm-3m (No. 221)
Inequivalent atoms, fractional coordinates:
Be  0.0000  0.0000  0.5000 [3 per cell]
Si  0.0000  0.0000  0.0000 [1 per cell]
I  0.5000  0.5000  0.5000 [1 per cell]

=====

Entry 18:
# NdDy4Er

A relaxed structure of NdDy4Er (PBE, Alexandria).

Output
* final energy: -104.40 eV/cell
* Fermi-level density of states: 45.187 states/eV/cell
* formation energy: 0.273 eV per atom
* polymorph energy (0 for the lowest one): 276 meV per atom

Unit cell a=9.2978 b=9.2978 c=9.2978 alpha=90.00 beta=90.00 gamma=90.00
Space group F-43m (No. 216)
Inequivalent atoms, fractional coordinates:
Nd  0.0000  0.0000  0.0000 [4 per cell]
Dy  0.1247  0.1247  0.3753 [16 per cell]
Er  0.2500  0.2500  0.7500 [4 per cell]

=====

Entry 19:
# RbVZnCd2

A relaxed structure of RbVZnCd2 (PBE, Alexandria).

Output
* final energy: -6.10 eV/cell
* Fermi-level density of states: 31.375 states/eV/cell
* formation energy: 1.418 eV per atom

Unit cell a=6.4242 b=6.4242 c=6.1355 alpha=90.00 beta=90.00 gamma=90.00
Space group P4/mmm (No. 123)
Inequivalent atoms, fractional coordinates:
Rb  0.0000  0.0000  0.0000 [1 per cell]
V  0.5000  0.5000  0.5000 [1 per cell]
Zn  0.0000  0.0000  0.5000 [1 per cell]
Cd  0.0000  0.5000  0.0000 [2 per cell]

=====

Entry 20:
# Sr3I2N

A relaxed structure of Sr3I2N (PBE, Alexandria).

Output
* final energy: -91.56 eV/cell
* Fermi-level density of states: 5.996 states/eV/cell
* formation energy from raw total energies: -1070 meV per atom
* polymorph energy (0 for the lowest one): 0 meV per atom

Unit cell a=14.5110 b=7.8256 c=7.5280 alpha=90.00 beta=90.00 gamma=90.00
Space group Cmcm (No. 63)
Inequivalent atoms, fractional coordinates:
Sr  0.0000  0.1059  0.2500 [4 per cell]
Sr  0.1148  0.5000  0.0000 [8 per cell]
I  0.1960  0.1609  0.7500 [8 per cell]
N  0.0000  0.4175  0.2500 [4 per cell]